KGe4O8: optimized geometry, PBE.

Cell lengths 5.5800, 5.5800, 8.2454 Å; angles 90.00, 90.00, 120.00 degrees
With the nearest neighbours (Å) after each atom.
Space group P-31m (No. 162)
Inequivalent atoms, fractional coordinates:
K: 0.0000 0.0000 0.0000 (multiplicity 1)  12 O 3.16-3.22
Ge: 0.3333 0.6667 0.2186 (multiplicity 4)  4 O 1.80
O: 0.0000 0.3859 0.7202 (multiplicity 6)  2 Ge 1.80
O: 0.3333 0.6667 0.0000 (multiplicity 2)  2 Ge 1.80

Results
**Size of the total moment**: 0.00 Bohr magnetons per cell
**E_tot**: -6.08 eV per atom